Density functional theory data (PBE) for POsW2 after structural relaxation.

```
POsW2
1.0
3.771 0.000 0.000
0.000 1.459 5.377
0.000 -1.459 5.377
P Os W
1 1 2
Direct
0.000 0.000 0.000
0.500 0.863 0.863
0.000 0.237 0.237
0.500 0.589 0.589
```

## Properties
Total moment   0.0 μB/f.u.
D(E_F)   2.472 states/eV/cell
Raw total energy   -10.611 eV per atom